#w
## TiHgAu3 (PBE)

Data for a geometry-optimized TiHgAu3 structure.

Symmetry ... Pm-3m (221)

```
TiHgAu3
1.0
5.109 0.000 0.000
0.000 5.109 0.000
0.000 0.000 5.109
Ti Au Hg
1 3 1
Cartesian
2.555 2.555 2.555
0.000 0.000 2.555
0.000 2.555 0.000
2.555 0.000 0.000
0.000 0.000 0.000
```

#x
## TiHgAu3 (PBE)

Data for a geometry-optimized TiHgAu3 structure.

Symmetry ... Pm-3m (221)

```
TiHgAu3
1.0
5.075 0.000 0.000
0.000 5.075 0.000
0.000 0.000 5.075
Au Hg Ti
3 1 1
Cartesian
0.000 0.000 2.538
2.538 0.000 0.000
0.000 2.538 0.000
2.538 2.538 2.538
0.000 0.000 0.000
```

Stability ranking, top entry: #x; the second entry is 43.3 kJ/mol of atoms less favorable.

#w
## TlHg4Au2 (PBE)

Data for a geometry-optimized TlHg4Au2 structure.

Symmetry ... Pnma (62)

```
TlHg4Au2
1.0
4.325 0.000 0.000
0.000 8.444 0.000
0.000 0.000 19.356
Hg Au Tl
16 8 4
Cartesian
1.081 5.484 13.334
3.244 5.378 18.660
3.244 6.060 15.782
3.244 6.606 6.104
3.244 1.262 15.699
3.244 0.159 1.366
3.244 7.288 8.982
1.081 1.838 13.252
1.081 2.384 3.574
1.081 1.156 10.373
3.244 4.063 11.043
1.081 8.285 17.990
3.244 2.960 6.022
1.081 7.182 3.656
1.081 3.066 0.696
1.081 4.381 8.312
1.081 6.179 10.571
3.244 0.574 4.275
1.081 7.870 15.081
3.244 1.957 18.462
1.081 4.796 5.403
3.244 2.265 8.785
1.081 6.487 0.893
3.244 3.648 13.953
3.244 4.800 2.714
1.081 3.644 16.642
3.244 7.866 12.392
1.081 0.578 6.964
```

#x
## TlHg4Au2 (PBE)

Data for a geometry-optimized TlHg4Au2 structure.

Symmetry ... Cmmm (65)

```
TlHg4Au2
1.0
-1.809 -4.016 -0.746
3.750 -1.928 1.288
-4.922 0.748 7.906
Au Tl Hg
2 1 4
Cartesian
0.521 -3.004 1.532
-3.502 -2.192 6.916
0.000 0.000 0.000
-2.005 -2.086 2.716
0.793 -1.041 3.681
-0.976 -3.110 5.732
-1.965 -0.139 5.513
```

Stability ranking, top entry: #w; the second entry is 1.8 kJ/mol of atoms less favorable.

#w
## TlHgAu2 (PBE)

Data for a geometry-optimized TlHgAu2 structure.

Symmetry ... R-3m (166)

```
TlHgAu2
1.0
-5.915 -2.941 1.083
-4.053 -4.812 -2.284
-2.819 -5.833 1.684
Hg Au Tl
1 2 1
Cartesian
-3.197 -3.397 0.121
-6.459 -6.863 0.244
-12.721 -13.517 0.480
-9.590 -10.190 0.362
```

#x
## TlHgAu2 (PBE)

Data for a geometry-optimized TlHgAu2 structure.

Symmetry ... Pmmm (47)

```
TlHgAu2
1.0
3.900 0.000 0.000
0.000 5.410 0.000
0.000 0.000 4.301
Au Tl Hg
2 1 1
Cartesian
1.950 2.705 0.000
0.000 0.000 0.000
0.000 2.705 2.151
1.950 0.000 2.151
```

Stability ranking, top entry: #w; the second entry is 5.5 kJ/mol of atoms less favorable.